1.
The following is a DFT calculation (PBE) of a relaxed structure of Ce2Ga3Pt4.

Cell lengths 8.341, 8.341, 7.539 Å; angles 90.00, 90.00, 139.99 degrees
Fractional positions:
Ce  0.108  0.892  0.908
Ce  0.392  0.608  0.408
Ce  0.608  0.392  0.592
Ce  0.892  0.108  0.092
Ga  0.000  0.000  0.500
Ga  0.020  0.480  0.750
Ga  0.480  0.020  0.250
Ga  0.500  0.500  0.000
Ga  0.520  0.980  0.750
Ga  0.980  0.520  0.250
Pt  0.178  0.822  0.526
Pt  0.188  0.312  0.750
Pt  0.312  0.188  0.250
Pt  0.322  0.678  0.026
Pt  0.678  0.322  0.974
Pt  0.688  0.812  0.750
Pt  0.812  0.688  0.250
Pt  0.822  0.178  0.474

Summary:
Theoretical density: 12504 kg/m3
M_tot: 0.12 μB/atom
Total DFT energy (no corrections): -0.43812 Ry/atom

---

2.
The following is a DFT calculation (PBE) of a relaxed structure of Li2YCu.

Cell lengths 3.448, 3.448, 6.771 Å; angles 90.00, 90.00, 90.00 degrees
Fractional positions:
Li  0.000  0.000  0.000
Li  0.500  0.500  0.203
Y  0.000  0.000  0.561
Cu  0.500  0.500  0.797

Summary:
Theoretical density: 3431 kg/m3
M_tot: 0.00 μB/atom
Total DFT energy (no corrections): -0.26593 Ry/atom

---

3.
The following is a DFT calculation (PBE) of a relaxed structure of NdCO4.

Cell lengths 5.969, 5.969, 6.093 Å; angles 98.88, 98.88, 123.50 degrees
Fractional positions:
Nd  0.147  0.853  0.750
Nd  0.853  0.147  0.250
C  0.142  0.858  0.250
C  0.858  0.142  0.750
O  0.059  0.633  0.336
O  0.088  0.215  0.930
O  0.215  0.088  0.430
O  0.367  0.941  0.164
O  0.633  0.059  0.836
O  0.785  0.912  0.570
O  0.912  0.785  0.070
O  0.941  0.367  0.664

Summary:
Raw formation energy: -1969 meV per atom
Theoretical density: 4275 kg/m3
M_tot: 0.17 μB/atom

---

What did the second record say?
The following is a DFT calculation (PBE) of a relaxed structure of Li2YCu.

Cell lengths 3.448, 3.448, 6.771 Å; angles 90.00, 90.00, 90.00 degrees
Fractional positions:
Li  0.000  0.000  0.000
Li  0.500  0.500  0.203
Y  0.000  0.000  0.561
Cu  0.500  0.500  0.797

Summary:
Theoretical density: 3431 kg/m3
M_tot: 0.00 μB/atom
Total DFT energy (no corrections): -0.26593 Ry/atom